Record 1
Compound: RbPdPt
Source: the Open Quantum Materials Database
Functional: PBE
Structure: optimized geometry

Output
* offset from the most stable computed form: 0.0 meV/atom

Structure (CIF):
```
data_RbPdPt
_symmetry_space_group_name_H-M 'F -4 3 m'
_symmetry_Int_Tables_number 216
_symmetry_space_group_name_Hall 'F -4 2 3'
_cell_length_a 6.7691
_cell_length_b 6.7691
_cell_length_c 6.7691
_cell_angle_alpha 90.00
_cell_angle_beta 90.00
_cell_angle_gamma 90.00
loop_
_atom_site_label
_atom_site_fract_x
_atom_site_fract_y
_atom_site_fract_z
_atom_site_occupancy
Rb1 0.0000 0.0000 0.0000 1
Pd1 0.2500 0.2500 0.7500 1
Pt1 0.0000 0.0000 0.5000 1
```

Record 2
Compound: Rb2Pd2PtS4
Source: the Open Quantum Materials Database
Functional: PBE
Structure: optimized geometry

Output
* uncorrected energy: -4.60 eV/atom

Structure (CIF):
```
data_Rb2Pd2PtS4
_symmetry_space_group_name_H-M 'F m m m'
_symmetry_Int_Tables_number 69
_symmetry_space_group_name_Hall '-F 2 2'
_cell_length_a 6.3772
_cell_length_b 10.8599
_cell_length_c 13.4177
_cell_angle_alpha 90.00
_cell_angle_beta 90.00
_cell_angle_gamma 90.00
loop_
_atom_site_label
_atom_site_fract_x
_atom_site_fract_y
_atom_site_fract_z
_atom_site_occupancy
Rb1 0.0000 0.0000 0.1564 1
Pd1 0.2500 0.2500 0.0000 1
Pt1 0.0000 0.0000 0.5000 1
S1 0.0000 0.1667 0.3872 1
```

Record 3
Compound: Rb2PdPt2S4
Source: the Open Quantum Materials Database
Functional: PBE
Structure: optimized geometry

Output
* uncorrected energy: -4.70 eV/atom

Structure (CIF):
```
data_Rb2PdPt2S4
_symmetry_space_group_name_H-M 'F m m m'
_symmetry_Int_Tables_number 69
_symmetry_space_group_name_Hall '-F 2 2'
_cell_length_a 6.5699
_cell_length_b 10.6614
_cell_length_c 13.3027
_cell_angle_alpha 90.00
_cell_angle_beta 90.00
_cell_angle_gamma 90.00
loop_
_atom_site_label
_atom_site_fract_x
_atom_site_fract_y
_atom_site_fract_z
_atom_site_occupancy
Rb1 0.0000 0.0000 0.1546 1
Pd1 0.0000 0.0000 0.5000 1
Pt1 0.2500 0.2500 0.0000 1
S1 0.0000 0.1733 0.3874 1
```

Record 4
Compound: Rb2PdPt3Se6
Source: the Open Quantum Materials Database
Functional: PBE
Structure: optimized geometry

Output
* uncorrected energy: -4.47 eV/atom

Structure (CIF):
```
data_Rb2PdPt3Se6
_symmetry_space_group_name_H-M 'R -3 m'
_symmetry_Int_Tables_number 166
_symmetry_space_group_name_Hall '-R 3 2"'
_cell_length_a 7.5411
_cell_length_b 7.5411
_cell_length_c 20.3480
_cell_angle_alpha 90.00
_cell_angle_beta 90.00
_cell_angle_gamma 120.00
loop_
_atom_site_label
_atom_site_fract_x
_atom_site_fract_y
_atom_site_fract_z
_atom_site_occupancy
Rb1 0.0000 0.0000 0.1989 1
Pd1 0.0000 0.0000 0.0000 1
Pt1 0.0000 0.5000 0.0000 1
Se1 0.0104 0.5052 0.2730 1
```